A relaxed MnAl2Si crystal. Source: Alexandria via LeMat-Bulk, functional GGA-PBE.

Properties
- Raw formation energy: 0.165 eV/atom
- Size of the total moment: 0.6 μB/cell
- Crystal system: cubic
- Electronic total energy: -85.7 eV/cell

a = 5.9320 Å, b = 5.9320 Å, c = 5.9320 Å
α = 90.00°, β = 90.00°, γ = 90.00°
Last column: nearest neighbours and their distance in Å.
Space group F-43m (No. 216)
Inequivalent atoms, fractional coordinates:
Mn 0.0000 0.0000 0.0000 [4 per cell]  4 Al 2.57, 4 Si 2.57
Al 0.0000 0.0000 0.5000 [4 per cell]  4 Al 2.57, 4 Si 2.57
Al 0.2500 0.2500 0.2500 [4 per cell]  4 Mn 2.57, 4 Al 2.57
Si 0.2500 0.2500 0.7500 [4 per cell]  4 Mn 2.57, 4 Al 2.57

=====

A relaxed MnAl2Si crystal. Source: Alexandria via LeMat-Bulk, functional GGA-PBE.

Properties
- Raw formation energy: -0.119 eV/atom
- Size of the total moment: 0.0 μB/cell
- Crystal system: tetragonal
- Electronic total energy: -22.6 eV/cell

a = 3.2183 Å, b = 3.2183 Å, c = 5.1291 Å
α = 90.00°, β = 90.00°, γ = 90.00°
Last column: nearest neighbours and their distance in Å.
Space group P4/mmm (No. 123)
Inequivalent atoms, fractional coordinates:
Mn 0.0000 0.0000 0.0000 [1 per cell]  2 Si 2.56, 8 Al 2.59
Al 0.5000 0.5000 0.2411 [2 per cell]  2 Al 2.47-2.66, 4 Mn 2.59, 4 Si 2.63
Si 0.0000 0.0000 0.5000 [1 per cell]  2 Mn 2.56, 8 Al 2.63

=====

A relaxed Mn2AlSi crystal. Source: Alexandria via LeMat-Bulk, functional GGA-PBE.

Properties
- Raw formation energy: -0.215 eV/atom
- Size of the total moment: 7.7 μB/cell
- Crystal system: monoclinic
- Electronic total energy: -56.7 eV/cell

a = 8.9017 Å, b = 2.6978 Å, c = 4.2696 Å
α = 90.00°, β = 104.28°, γ = 90.00°
Last column: nearest neighbours and their distance in Å.
Space group Cm (No. 8)
Inequivalent atoms, fractional coordinates:
Mn 0.0000 0.0000 0.0000 [2 per cell]  4 Si 2.50-2.55, 3 Al 2.51-2.53, 2 Mn 2.70
Mn 0.2337 0.0000 0.6542 [2 per cell]  3 Si 2.45-2.58, 4 Al 2.52-2.54, 2 Mn 2.70
Al 0.2477 0.5000 0.1635 [2 per cell]  7 Mn 2.51-2.54, 2 Al 2.70, 2 Si 2.70
Si 0.4975 0.0000 0.5047 [2 per cell]  7 Mn 2.45-2.58, 2 Si 2.70, 2 Al 2.70

=====

Question: What is the formula in the third record?
Answer: Mn2AlSi